4
Lattice="-3.507 -0.361 3.042 -4.403 -0.032 -1.516 -2.506 -3.919 0.210" Properties=species:S:1:pos:R:3 comment="CdB2Te | OQMD via LeMat-Bulk | PBE-GGA | optimized geometry" space_group="No. 216" pbc="T T T"
Cd -7.812 -3.234 1.302
B -5.208 -2.156 0.868
B -2.604 -1.078 0.434
Te 0.000 0.000 0.000

---

3
Lattice="0.000 3.381 3.381 3.381 0.000 3.381 3.381 3.381 0.000" Properties=species:S:1:pos:R:3 comment="ThCdB | OQMD via LeMat-Bulk | PBE-GGA | optimized geometry" m_tot_mub_per_fu=0.00 e_above_lowest_polymorph_kj_per_mol_atoms=81.2 space_group="No. 216" pbc="T T T"
Th 1.691 1.691 1.691
Cd 0.000 0.000 0.000
B 3.381 3.381 3.381

---

6
Lattice="-1.612 2.747 4.317 1.612 -2.747 4.317 1.612 2.747 -4.317" Properties=species:S:1:pos:R:3 comment="ThCdB4 | OQMD via LeMat-Bulk | PBE-GGA | optimized geometry" m_tot_mub_per_fu=0.00 e_above_lowest_polymorph_kj_per_mol_atoms=0.0 space_group="No. 71" pbc="T T T"
B 1.612 0.982 2.237
B 0.000 1.765 2.080
Th 0.000 0.000 4.317
Cd 0.000 0.000 0.000
B 1.612 -0.982 2.237
B 0.000 3.730 2.080

---

3
Lattice="-3.837 -0.843 2.183 -2.551 3.402 1.456 -3.944 0.857 -1.976" Properties=species:S:1:pos:R:3 comment="ThCdB | OQMD via LeMat-Bulk | PBE-GGA | optimized geometry" m_tot_mub_per_fu=0.00 e_above_lowest_polymorph_kj_per_mol_atoms=0.0 space_group="No. 216" pbc="T T T"
B 0.000 0.000 0.000
Cd -2.583 0.854 0.416
Th -7.749 2.562 1.247

---

6
Lattice="-2.603 -0.594 1.823 0.691 -1.922 -2.506 4.467 -4.711 4.844" Properties=species:S:1:pos:R:3 comment="ThCdB4 | OQMD via LeMat-Bulk | PBE-GGA | optimized geometry" m_tot_mub_per_fu=0.00 e_above_lowest_polymorph_kj_per_mol_atoms=6.4 space_group="No. 191" pbc="T T T"
B 2.908 -4.976 2.532
Th 0.000 0.000 0.000
Cd 2.234 -2.356 2.422
B -0.353 -2.252 1.630
B 0.745 -2.695 0.186
B 1.810 -4.533 3.975

---

4
Lattice="0.000 3.274 3.274 3.274 0.000 3.274 3.274 3.274 0.000" Properties=species:S:1:pos:R:3 comment="TlCdB2 | OQMD via LeMat-Bulk | PBE-GGA | optimized geometry" space_group="No. 216" pbc="T T T"
Cd 4.911 4.911 4.911
B 3.274 3.274 3.274
B 1.637 1.637 1.637
Tl 0.000 0.000 0.000

---

6
Lattice="2.811 -4.507 -1.628 4.343 -1.085 3.291 -5.516 0.406 -0.527" Properties=species:S:1:pos:R:3 comment="TlCdB4 | OQMD via LeMat-Bulk | PBE-GGA | optimized geometry" e_above_lowest_polymorph_kj_per_mol_atoms=6.6 space_group="No. 71" pbc="T T T"
Tl 3.577 -2.796 0.831
B 0.725 -2.391 1.435
B 0.020 -4.150 -1.010
B 1.618 -1.036 2.147
B 0.914 -2.795 -0.299
Cd 0.000 0.000 0.000

---

6
Lattice="3.095 0.000 0.000 -1.548 2.680 0.000 0.000 0.000 9.318" Properties=species:S:1:pos:R:3 comment="TlCdB4 | OQMD via LeMat-Bulk | PBE-GGA | optimized geometry" e_above_lowest_polymorph_kj_per_mol_atoms=0.0 space_group="No. 191" pbc="T T T"
B 1.548 0.894 7.297
B 1.548 0.894 2.021
Tl 0.000 0.000 4.659
B 0.000 1.787 2.021
B 0.000 1.787 7.297
Cd 0.000 0.000 0.000

---

3
Lattice="0.000 3.206 3.206 3.206 0.000 3.206 3.206 3.206 0.000" Properties=species:S:1:pos:R:3 comment="TmCdB | OQMD via LeMat-Bulk | PBE-GGA | optimized geometry" m_tot_mub_per_fu=0.00 e_above_lowest_polymorph_kj_per_mol_atoms=91.9 space_group="No. 216" pbc="T T T"
Tm 0.000 0.000 0.000
B 1.603 1.603 1.603
Cd 4.810 4.810 4.810

---

3
Lattice="-3.420 -2.176 -0.172 2.841 -0.456 -2.861 1.640 -2.739 2.065" Properties=species:S:1:pos:R:3 comment="TmCdB | OQMD via LeMat-Bulk | PBE-GGA | optimized geometry" m_tot_mub_per_fu=0.00 e_above_lowest_polymorph_kj_per_mol_atoms=23.2 space_group="No. 187" pbc="T T T"
B 0.820 -1.369 1.032
Tm -1.333 -1.603 -1.068
Cd 1.574 -2.399 -0.932

---

3
Lattice="0.000 3.025 3.025 3.025 0.000 3.025 3.025 3.025 0.000" Properties=species:S:1:pos:R:3 comment="TmCdB | OQMD via LeMat-Bulk | PBE-GGA | optimized geometry" m_tot_mub_per_fu=0.00 e_above_lowest_polymorph_kj_per_mol_atoms=0.0 space_group="No. 216" pbc="T T T"
B 0.000 0.000 0.000
Tm 4.538 4.538 4.538
Cd 1.513 1.513 1.513

---

6
Lattice="-2.088 -1.056 -2.202 3.129 0.180 -0.709 0.971 -7.102 2.484" Properties=species:S:1:pos:R:3 comment="TmCdB4 | OQMD via LeMat-Bulk | PBE-GGA | optimized geometry" m_tot_mub_per_fu=0.01 e_above_lowest_polymorph_kj_per_mol_atoms=8.8 space_group="No. 191" pbc="T T T"
Tm 0.486 -3.551 1.242
B -0.099 -2.475 -1.064
B 2.111 -5.503 0.637
B 1.640 -2.063 -0.566
Cd 0.000 0.000 0.000
B 0.371 -5.915 0.139

---

6
Lattice="-2.798 -3.719 -1.965 -4.724 1.753 0.371 4.452 0.807 -2.247" Properties=species:S:1:pos:R:3 comment="TmCdB4 | OQMD via LeMat-Bulk | PBE-GGA | optimized geometry" m_tot_mub_per_fu=0.00 e_above_lowest_polymorph_kj_per_mol_atoms=0.0 space_group="No. 71" pbc="T T T"
B -0.680 -2.437 -3.226
Cd 0.000 0.000 0.000
Tm -3.761 -0.983 -0.797
B -1.260 -1.415 -1.748
B -1.810 0.255 -2.094
B -2.390 1.277 -0.615

---

3
Lattice="0.279 -4.599 0.108 -3.384 -2.469 1.921 -2.787 -2.541 -2.648" Properties=species:S:1:pos:R:3 comment="UCdB | OQMD via LeMat-Bulk | PBE-GGA | optimized geometry" m_tot_mub_per_fu=2.50 e_above_lowest_polymorph_kj_per_mol_atoms=81.7 space_group="No. 216" pbc="T T T"
U 0.000 0.000 0.000
Cd -4.419 -7.207 -0.464
B -1.473 -2.402 -0.155

---

3
Lattice="-4.352 -0.103 0.372 -2.040 2.867 2.590 -2.418 3.190 -1.751" Properties=species:S:1:pos:R:3 comment="UCdB | OQMD via LeMat-Bulk | PBE-GGA | optimized geometry" m_tot_mub_per_fu=2.96 e_above_lowest_polymorph_kj_per_mol_atoms=0.0 space_group="No. 216" pbc="T T T"
Cd -2.202 1.489 0.303
B 0.000 0.000 0.000
U -6.607 4.466 0.908

---

12
Lattice="3.108 0.000 0.000 -1.554 2.692 0.000 0.000 0.000 19.773" Properties=species:S:1:pos:R:3 comment="CdB2W3 | OQMD via LeMat-Bulk | PBE-GGA | optimized geometry" m_tot_mub_per_fu=0.00 space_group="No. 194" pbc="T T T"
W 0.000 0.000 0.000
B 1.554 0.897 11.214
B 0.000 1.794 1.327
B 0.000 1.794 8.560
W 1.554 0.897 2.514
Cd 0.000 0.000 14.830
W 0.000 0.000 9.887
W 1.554 0.897 7.373
W 0.000 1.794 12.400
Cd 0.000 0.000 4.943
B 1.554 0.897 18.446
W 0.000 1.794 17.260

---

4
Lattice="-1.426 -2.246 3.265 -4.126 -0.741 0.405 -1.512 -3.883 -0.614" Properties=species:S:1:pos:R:3 comment="CdB2W | OQMD via LeMat-Bulk | PBE-GGA | optimized geometry" m_tot_mub_per_fu=0.02 space_group="No. 216" pbc="T T T"
B -5.298 -5.152 2.292
Cd 0.000 0.000 0.000
B -3.532 -3.435 1.528
W -1.766 -1.717 0.764

---

16
Lattice="3.126 0.000 0.000 -1.563 2.707 0.000 0.000 0.000 24.844" Properties=species:S:1:pos:R:3 comment="CdB3W4 | OQMD via LeMat-Bulk | PBE-GGA | optimized geometry" m_tot_mub_per_fu=0.00 space_group="No. 194" pbc="T T T"
B 1.563 0.902 9.781
W 0.000 0.000 16.217
W 0.000 1.805 1.353
B 0.000 1.805 22.203
W 0.000 0.000 21.049
W 0.000 1.805 11.069
B 0.000 0.000 0.000
Cd 1.563 0.902 18.633
W 1.563 0.902 13.775
B 1.563 0.902 2.640
W 1.563 0.902 23.491
B 0.000 0.000 12.422
W 0.000 0.000 8.627
W 0.000 0.000 3.795
Cd 0.000 1.805 6.211
B 0.000 1.805 15.062

---

4
Lattice="2.172 -2.673 2.915 1.122 1.556 4.084 -2.131 -1.542 3.666" Properties=species:S:1:pos:R:3 comment="YCdB2 | OQMD via LeMat-Bulk | PBE-GGA | optimized geometry" m_tot_mub_per_fu=0.00 space_group="No. 216" pbc="T T T"
B 0.290 -0.665 2.666
B 0.581 -1.329 5.332
Cd 0.871 -1.994 7.998
Y 0.000 0.000 0.000

---

3
Lattice="0.000 3.063 3.063 3.063 0.000 3.063 3.063 3.063 0.000" Properties=species:S:1:pos:R:3 comment="YCdB | OQMD via LeMat-Bulk | PBE-GGA | optimized geometry" m_tot_mub_per_fu=0.00 e_above_lowest_polymorph_kj_per_mol_atoms=0.0 space_group="No. 216" pbc="T T T"
Y 4.595 4.595 4.595
B 0.000 0.000 0.000
Cd 1.532 1.532 1.532

---

5
Lattice="-6.530 0.105 -4.627 5.583 -3.176 4.775 -2.025 0.764 2.876" Properties=species:S:1:pos:R:3 comment="Y2CdB2 | OQMD via LeMat-Bulk | PBE-GGA | optimized geometry" m_tot_mub_per_fu=0.02 space_group="No. 65" pbc="T T T"
Y 0.299 -1.637 2.898
Cd 0.000 0.000 0.000
B -3.729 -0.654 -2.453
B 2.782 -2.417 2.601
Y -3.271 -0.670 0.127

---

3
Lattice="3.151 -0.479 3.312 2.900 3.443 0.928 -0.413 2.358 3.923" Properties=species:S:1:pos:R:3 comment="YCdB | OQMD via LeMat-Bulk | PBE-GGA | optimized geometry" m_tot_mub_per_fu=0.00 e_above_lowest_polymorph_kj_per_mol_atoms=91.3 space_group="No. 216" pbc="T T T"
B 1.410 1.331 2.041
Cd 4.229 3.992 6.122
Y 0.000 0.000 0.000

---

12
Lattice="3.673 0.000 0.000 -1.836 3.181 0.000 0.000 0.000 23.236" Properties=species:S:1:pos:R:3 comment="Y3CdB2 | OQMD via LeMat-Bulk | PBE-GGA | optimized geometry" m_tot_mub_per_fu=0.00 space_group="No. 194" pbc="T T T"
B 1.836 1.060 21.528
B 0.000 2.120 1.708
Cd 0.000 0.000 17.427
B 1.836 1.060 13.326
Y 0.000 2.120 14.756
Y 0.000 0.000 0.000
Y 0.000 2.120 20.098
Cd 0.000 0.000 5.809
B 0.000 2.120 9.910
Y 0.000 0.000 11.618
Y 1.836 1.060 8.480
Y 1.836 1.060 3.138

---

4
Lattice="-1.290 -3.574 2.663 0.110 0.392 4.622 -3.962 0.211 2.405" Properties=species:S:1:pos:R:3 comment="ZnCd2B | OQMD via LeMat-Bulk | PBE-GGA | optimized geometry" space_group="No. 216" pbc="T T T"
Cd 0.000 0.000 0.000
Cd -3.857 -2.229 7.268
Zn -1.286 -0.743 2.423
B -2.571 -1.486 4.845

---

4
Lattice="0.000 3.140 3.140 3.140 0.000 3.140 3.140 3.140 0.000" Properties=species:S:1:pos:R:3 comment="Zn2CdB | OQMD via LeMat-Bulk | PBE-GGA | optimized geometry" space_group="No. 216" pbc="T T T"
Zn 4.710 4.710 4.710
Cd 1.570 1.570 1.570
Zn 0.000 0.000 0.000
B 3.140 3.140 3.140

---

4
Lattice="0.066 -3.407 2.539 -2.771 -0.314 3.206 -3.148 -2.848 -0.184" Properties=species:S:1:pos:R:3 comment="ZnCdB2 | OQMD via LeMat-Bulk | PBE-GGA | optimized geometry" space_group="No. 216" pbc="T T T"
Cd -2.927 -3.285 2.781
B -1.463 -1.642 1.390
B 0.000 0.000 0.000
Zn -4.390 -4.927 4.171

---

9
Lattice="-3.415 2.877 -1.813 -4.745 -1.966 0.572 -0.742 3.926 7.551" Properties=species:S:1:pos:R:3 comment="Zr3Cd5B | OQMD via LeMat-Bulk | PBE-GGA | optimized geometry" m_tot_mub_per_fu=0.05 space_group="No. 1" pbc="T T T"
Cd -4.813 4.379 6.927
Zr -6.376 5.018 4.483
Cd -3.584 4.410 4.315
Zr -0.104 0.534 1.023
Zr -4.324 1.730 1.830
Cd -5.644 2.143 5.297
B -1.892 2.400 0.939
Cd -1.755 1.791 3.311
Cd -7.082 2.702 2.340

---

12
Lattice="3.433 0.000 0.000 -1.717 2.973 0.000 0.000 0.000 21.296" Properties=species:S:1:pos:R:3 comment="Zr3CdB2 | OQMD via LeMat-Bulk | PBE-GGA | optimized geometry" m_tot_mub_per_fu=0.57 space_group="No. 194" pbc="T T T"
Cd 0.000 0.000 15.972
B 0.000 1.982 9.169
B 0.000 1.982 1.479
Zr 1.717 0.991 7.896
Zr 0.000 0.000 0.000
Zr 0.000 0.000 10.648
Cd 0.000 0.000 5.324
B 1.717 0.991 19.817
B 1.717 0.991 12.127
Zr 1.717 0.991 2.752
Zr 0.000 1.982 13.401
Zr 0.000 1.982 18.544

---

no.,DFT total energy (eV/atom),volume (A^3/atom)
1,-2.504,17.85
2,-4.003,25.77
3,-5.825,12.74
4,-4.845,21.39
5,-5.759,12.22
6,-2.321,17.54
7,-4.340,12.71
8,-4.408,12.88
9,-3.135,21.98
10,-3.847,18.07
11,-4.087,18.46
12,-5.370,11.31
13,-5.461,11.34
14,-4.844,23.07
15,-5.690,19.66
16,-8.882,13.79
17,-4.772,13.21
18,-9.182,13.14
19,-4.004,16.24
20,-4.755,19.16
21,-5.880,18.16
22,-3.808,22.88
23,-5.567,22.62
24,-1.528,17.66
25,-1.692,15.47
26,-2.308,13.57
27,-3.808,21.85
28,-6.974,18.12